[1]
Below is a geometry-optimized AlCd2Rh structure, with properties calculated at the PBE level.

```
AlCd2Rh
1.0
4.3288 0.0000 0.0000
0.0000 3.9968 0.0000
0.0000 0.0000 3.9968
Al Rh Cd
1 1 2
Direct
0.5000 0.0000 0.5000 Al
0.5000 0.5000 0.0000 Rh
0.0000 0.5000 0.5000 Cd
0.0000 0.0000 0.0000 Cd
```

The space-group type is P4/mmm (123).

=====

[2]
Below is a geometry-optimized AlCdRh2 structure, with properties calculated at the PBE level.

```
AlCdRh2
1.0
-2.6424 -0.3301 1.0571
0.9297 -3.5376 1.2196
1.7367 2.1886 5.0247
Rh Cd Al
2 1 1
Direct
0.0000 0.0000 0.0064 Rh
0.5000 0.5000 0.2814 Rh
0.5000 0.5000 0.7680 Cd
0.0000 0.0000 0.4442 Al
```

The space-group type is Pmm2 (25).

=====

[3]
Below is a geometry-optimized AlCdRh2 structure, with properties calculated at the PBE level.

```
AlCdRh2
1.0
4.9486 0.0002 0.0000
1.8933 4.5721 0.0000
-3.4209 -2.2861 2.7494
Al Rh Cd
1 2 1
Direct
0.5000 0.5000 0.0000 Al
0.2500 0.7500 0.5000 Rh
0.0000 0.0000 0.0000 Rh
0.7500 0.2500 0.5000 Cd
```

The space-group type is I-4m2 (119).

=====

[4]
Below is a geometry-optimized AlCd2Rh structure, with properties calculated at the PBE level.

```
AlCd2Rh
1.0
2.8955 -0.1371 0.0000
-1.1650 2.6543 0.0000
0.0000 0.0000 9.8899
Cd Rh Al
2 1 1
Direct
0.0000 0.0000 0.0188 Cd
0.0000 0.0000 0.4812 Cd
0.5000 0.5000 0.2500 Rh
0.5000 0.5000 0.7500 Al
```

The space-group type is Cmmm (65).

=====

Number 1: total DFT energy (no corrections) -13.56 eV per cell. Number 2: total DFT energy (no corrections) -20.47 eV per cell. Number 3: total DFT energy (no corrections) -20.39 eV per cell. Number 4: total DFT energy (no corrections) -12.36 eV per cell.